1.
DFT (GGA-PBEsol) results for a relaxed structure of Ca2Bi3Au10.

Unit cell a=23.068 b=23.068 c=23.068 alpha=13.93 beta=13.93 gamma=13.93
Atoms (fractional coordinates):
Ca  0.000  0.000  0.000
Ca  0.199  0.199  0.199
Ca  0.399  0.399  0.399
Ca  0.799  0.799  0.799
Bi  0.050  0.050  0.050
Bi  0.250  0.250  0.250
Bi  0.449  0.449  0.449
Bi  0.599  0.599  0.599
Bi  0.648  0.648  0.648
Bi  0.849  0.849  0.849
Au  0.024  0.524  0.524
Au  0.124  0.124  0.124
Au  0.124  0.124  0.626
Au  0.124  0.626  0.124
Au  0.224  0.724  0.724
Au  0.324  0.324  0.825
Au  0.324  0.825  0.324
Au  0.325  0.325  0.325
Au  0.425  0.924  0.924
Au  0.524  0.024  0.524
Au  0.524  0.524  0.024
Au  0.524  0.524  0.524
Au  0.626  0.124  0.124
Au  0.724  0.224  0.724
Au  0.724  0.724  0.224
Au  0.724  0.724  0.724
Au  0.825  0.324  0.324
Au  0.924  0.425  0.924
Au  0.924  0.924  0.425
Au  0.924  0.924  0.924

Summary:
The volume comes out at 619.0 Å³/cell. The total moment comes out at 0.00 μB/cell. As for the total energy: -4.12 eV/atom.

***

2.
DFT (GGA-PBEsol) results for a relaxed structure of CaCdBiAu2.

Unit cell a=5.323 b=5.323 c=5.949 alpha=90.00 beta=90.00 gamma=90.00
Atoms (fractional coordinates):
Ca  0.000  0.000  0.000
Cd  0.500  0.500  0.000
Bi  0.000  0.000  0.500
Au  0.000  0.500  0.500
Au  0.500  0.000  0.500

Summary:
The volume comes out at 168.5 Å³/cell. The total moment comes out at 0.00 μB/cell. As for the total energy: -2.77 eV/atom.

***

3.
DFT (GGA-PBEsol) results for a relaxed structure of Cd2BiAu2.

Unit cell a=7.225 b=7.225 c=7.225 alpha=147.57 beta=147.57 gamma=46.52
Atoms (fractional coordinates):
Cd  0.250  0.750  0.500
Cd  0.750  0.250  0.500
Bi  0.000  0.000  0.000
Au  0.398  0.398  0.000
Au  0.602  0.602  0.000

Summary:
The volume comes out at 108.1 Å³/cell. The total moment comes out at 0.00 μB/cell. As for the total energy: -2.97 eV/atom.